[1]
A plane-wave DFT calculation with GGA-PBE was carried out for K2LiHgP after structural relaxation.

Cell lengths 6.318, 6.318, 4.726 Å; angles 90.00, 90.00, 90.00 degrees
Space group P4/mmm (No. 123)
Symmetry-distinct sites (fractional):
K 0.000 0.500 0.000 [2 per cell]
Li 0.000 0.000 0.500 [1 per cell]
Hg 0.500 0.500 0.500 [1 per cell]
P 0.000 0.000 0.000 [1 per cell]

Calculated values
- E (eV/f.u.) = -11.11
- M_tot (μB/atom) = 0.000
- density (kg/m³) = 2788

[2]
A plane-wave DFT calculation with GGA-PBE was carried out for SmTm3Al8 after structural relaxation.

Cell lengths 5.5359, 5.5359, 27.2707 Å; angles 90.00, 90.00, 120.00 degrees
Space group R3m (No. 160, hexagonal axes)
Symmetry-distinct sites (fractional):
Sm 0.0000 0.0000 0.0000 [3 per cell]
Tm 0.0000 0.0000 0.1252 [3 per cell]
Tm 0.0000 0.0000 0.5005 [3 per cell]
Tm 0.0000 0.0000 0.6243 [3 per cell]
Al 0.0000 0.0000 0.3122 [3 per cell]
Al 0.0000 0.0000 0.8128 [3 per cell]
Al 0.0004 0.5002 0.0634 [9 per cell]
Al 0.1670 0.3340 0.8951 [9 per cell]

Calculated values
- E (eV/f.u.) = -54.08
- relative energy among the computed polymorphs (eV per formula unit) = 0.000
- M_tot (μB/atom) = 0.000
- density (kg/m³) = 6009

The records above give, respectively, ΔE_f values of -258 -501 meV per atom.